1.
Below is crystalline SrIrRh2 at its relaxed geometry, with properties calculated at the PBE level.

Cell lengths 6.6331, 6.6331, 6.6331 Å; angles 90.00, 90.00, 90.00 degrees
Space group F-43m (No. 216)
Asymmetric unit:
Sr: 0.0000 0.0000 0.0000 [4 per cell]
Ir: 0.2500 0.2500 0.7500 [4 per cell]
Rh: 0.0000 0.0000 0.5000 [4 per cell]
Rh: 0.2500 0.2500 0.2500 [4 per cell]

Properties
total moment = 2.9 μB/f.u.
E_tot = -0.4282 Ry per atom
energy above the most stable polymorph in this dataset = 620 meV per atom

=====

2.
Below is crystalline NaTl2SnCl5 at its relaxed geometry, with properties calculated at the PBE level.

Cell lengths 4.4926, 18.1936, 13.8784 Å; angles 90.00, 90.00, 90.00 degrees
Space group Cmc2_1 (No. 36)
Asymmetric unit:
Na: 0.0000 0.2200 0.0000 [4 per cell]
Tl: 0.0000 0.1106 0.6423 [4 per cell]
Tl: 0.0000 0.1494 0.2685 [4 per cell]
Sn: 0.0000 0.4636 0.4289 [4 per cell]
Cl: 0.0000 0.0681 0.0417 [4 per cell]
Cl: 0.0000 0.2775 0.6382 [4 per cell]
Cl: 0.0000 0.3231 0.3699 [4 per cell]
Cl: 0.0000 0.3705 0.9768 [4 per cell]
Cl: 0.0000 0.4931 0.7439 [4 per cell]

Properties
total moment = 0.0 μB/f.u.
E_tot = -0.2422 Ry per atom
formation energy from raw total energies = -1.152 eV per atom

=====

3.
Below is crystalline MnCdIr2 at its relaxed geometry, with properties calculated at the PBE level.

Cell lengths 2.9441, 4.6045, 9.3546 Å; angles 90.00, 90.00, 90.00 degrees
Space group Imm2 (No. 44)
Asymmetric unit:
Mn: 0.0000 0.0000 0.0000 [2 per cell]
Cd: 0.0000 0.5000 0.7657 [2 per cell]
Ir: 0.0000 0.0000 0.5304 [2 per cell]
Ir: 0.0000 0.5000 0.2713 [2 per cell]

Properties
total moment = 3.8 μB/f.u.
E_tot = -0.4951 Ry per atom

=====

4.
Below is crystalline Na2MgIn5 at its relaxed geometry, with properties calculated at the PBE level.

Cell lengths 4.6713, 4.6713, 18.9967 Å; angles 90.00, 90.00, 90.00 degrees
Space group I4/mmm (No. 139)
Asymmetric unit:
Na: 0.0000 0.0000 0.2483 [4 per cell]
Mg: 0.0000 0.0000 0.0000 [2 per cell]
In: 0.0000 0.0000 0.5000 [2 per cell]
In: 0.0000 0.5000 0.1187 [8 per cell]

Properties
total moment = 0.0 μB/f.u.
E_tot = -0.1711 Ry per atom
energy above the most stable polymorph in this dataset = 0 meV per atom

=====

5.
Below is crystalline Li2In5Ga at its relaxed geometry, with properties calculated at the PBE level.

Cell lengths 4.7976, 13.6538, 12.2379 Å; angles 90.00, 90.00, 90.00 degrees
Space group Cmcm (No. 63)
Asymmetric unit:
Li: 0.0000 0.1308 0.1342 [8 per cell]
In: 0.0000 0.0760 0.6152 [8 per cell]
In: 0.0000 0.3195 0.2500 [4 per cell]
In: 0.0000 0.3226 0.5125 [8 per cell]
Ga: 0.0000 0.3099 0.7500 [4 per cell]

Properties
total moment = 0.0 μB/f.u.
E_tot = -0.1921 Ry per atom
energy above the most stable polymorph in this dataset = 87 meV per atom

=====

6.
Below is crystalline TbSmInSn at its relaxed geometry, with properties calculated at the PBE level.

Cell lengths 7.6246, 7.6246, 7.6246 Å; angles 90.00, 90.00, 90.00 degrees
Space group F-43m (No. 216)
Asymmetric unit:
Tb: 0.0000 0.0000 0.0000 [4 per cell]
Sm: 0.0000 0.0000 0.5000 [4 per cell]
In: 0.2500 0.2500 0.7500 [4 per cell]
Sn: 0.2500 0.2500 0.2500 [4 per cell]

Properties
total moment = 0.0 μB/f.u.
E_tot = -0.3340 Ry per atom
energy above the most stable polymorph in this dataset = 103 meV per atom

=====

7.
Below is crystalline ZnAgN at its relaxed geometry, with properties calculated at the PBE level.

Cell lengths 3.4622, 3.4622, 4.3787 Å; angles 90.00, 90.00, 120.00 degrees
Space group P-6m2 (No. 187)
Asymmetric unit:
Zn: 0.0000 0.0000 0.0000 [1 per cell]
Ag: 0.6667 0.3333 0.5000 [1 per cell]
N: 0.6667 0.3333 0.0000 [1 per cell]

Properties
total moment = 0.0 μB/f.u.
E_tot = -0.2805 Ry per atom
formation energy from raw total energies = 0.334 eV per atom

=====

8.
Below is crystalline In2CuTcGe at its relaxed geometry, with properties calculated at the PBE level.

Cell lengths 5.2181, 5.2181, 4.7381 Å; angles 90.00, 90.00, 90.00 degrees
Space group P4/mmm (No. 123)
Asymmetric unit:
In: 0.0000 0.5000 0.0000 [2 per cell]
Cu: 0.0000 0.0000 0.5000 [1 per cell]
Tc: 0.5000 0.5000 0.5000 [1 per cell]
Ge: 0.5000 0.5000 0.0000 [1 per cell]

Properties
total moment = 2.1 μB/f.u.
E_tot = -0.2800 Ry per atom

=====

Number 1 is which compound? SrIrRh2

=====

Which of these has the lowest E_tot? MnCdIr2